DFT (PBE) results for a geometry-optimized TbBeZnAu3 structure.

Cell lengths 6.4195, 12.3309, 5.7603 Å; angles 90.00, 90.00, 90.00 degrees
Closest atoms and distances in Å follow each position.
Space group Cmcm (No. 63)
Symmetry-distinct sites (fractional):
Tb (0.0000, 0.2197, 0.2500) x4  2 Zn 3.06, 1 Be 3.06, 8 Au 3.23-3.39
Be (0.0000, 0.4679, 0.2500) x4  5 Au 2.32-2.40
Zn (0.0000, 0.1362, 0.7500) x4  5 Au 2.48-2.64
Au (0.0000, 0.3375, 0.7500) x4  1 Be 2.40, 1 Zn 2.48
Au (0.2238, 0.0000, 0.0000) x8  2 Be 2.32

Values from the calculation:
ΔH_f (0 K) = -0.331 eV/atom
VASP energy = -3.574 eV/atom